# Pb3C5 (PBE, relaxed)
data_Pb3C5
_cell_length_a 6.694
_cell_length_b 12.606
_cell_length_c 3.358
_cell_angle_alpha 90.00
_cell_angle_beta 90.00
_cell_angle_gamma 90.00
_symmetry_space_group_name_H-M 'C m m m'
_symmetry_Int_Tables_number 65
_symmetry_space_group_name_Hall '-C 2 2'
loop_
_atom_site_label
_atom_site_fract_x
_atom_site_fract_y
_atom_site_fract_z
_atom_site_occupancy
Pb1 0.000 0.000 0.000 1
Pb2 0.000 0.258 0.500 1
C1 0.000 0.500 0.000 1
C2 0.101 0.500 0.500 1
C3 0.250 0.250 0.000 1
# ΔH_f (0 K)   2.298 eV per atom
# Total DFT energy (no corrections)   -38.9 eV/f.u.